Here is a relaxed structure of HoTm2Si3Pt4 from Alexandria via LeMat-Bulk. Energies are from PBE.

Values from the calculation:
formation energy without anion corrections	-1037.5	meV per atom
Fermi-level density of states	6.8	states/eV/cell
raw total energy	-6.43	eV per atom

Cell and atoms, written as POSCAR:
```
HoTm2Si3Pt4
1.0
-4.062 -0.320 -0.615
-0.073 -3.437 2.272
-1.857 6.064 9.117
Pt Tm Si Ho
4 2 3 1
direct
0.000 0.000 0.000
0.000 0.500 0.336
0.500 0.500 0.000
0.500 0.000 0.664
0.500 0.000 0.224
0.000 0.500 0.776
0.000 0.000 0.500
0.000 0.500 0.124
0.500 0.000 0.876
0.500 0.500 0.500
```